First-principles (PBE) data for crystalline PaTlInI6 at its relaxed geometry, as listed in the Alexandria database.

Unit cell a=8.4750 b=8.4750 c=14.5182 alpha=90.00 beta=90.00 gamma=120.00
Last column: nearest neighbours and their distance in Å.
Space group P-31c (No. 163)
Unique sites:
Pa  0.3333  0.6667  0.2500  6 I 3.05
Tl  0.0000  0.0000  0.0000  6 I 3.57
In  0.3333  0.6667  0.7500  6 I 3.45
I  0.0365  0.3752  0.1295  1 Pa 3.05

Output
As for the raw formation energy: -0.7957 eV/atom. The uncorrected energy is -3.45 eV per atom.